# Li2SnPb2O6 | the Alexandria database | PBE | optimized geometry
data_Li2SnPb2O6
_symmetry_space_group_name_H-M 'P -3 1 m'
_symmetry_Int_Tables_number 162
_symmetry_space_group_name_Hall '-P 3 2'
_cell_length_a 5.4751
_cell_length_b 5.4751
_cell_length_c 5.4113
_cell_angle_alpha 90.00
_cell_angle_beta 90.00
_cell_angle_gamma 120.00
loop_
_atom_site_label
_atom_site_fract_x
_atom_site_fract_y
_atom_site_fract_z
Li1 0.3333 0.6667 0.0000
Sn1 0.0000 0.0000 0.0000
Pb1 0.3333 0.6667 0.5000
O1 0.0000 0.3270 0.2164
# Uncorrected energy (eV/atom): -5.35
# V (Å³ per atom): 12.8



# LiSnPbO4 | the Alexandria database | PBE | optimized geometry
data_LiSnPbO4
_symmetry_space_group_name_H-M 'I m m a'
_symmetry_Int_Tables_number 74
_symmetry_space_group_name_Hall '-I 2b 2'
_cell_length_a 6.3953
_cell_length_b 7.0928
_cell_length_c 9.4465
_cell_angle_alpha 90.00
_cell_angle_beta 90.00
_cell_angle_gamma 90.00
loop_
_atom_site_label
_atom_site_fract_x
_atom_site_fract_y
_atom_site_fract_z
Li1 0.0000 0.2500 0.0882
Sn1 0.2500 0.2500 0.7500
Pb1 0.0000 0.0000 0.5000
O1 0.0000 0.0496 0.7499
O2 0.2402 0.2500 0.5258
# Uncorrected energy (eV/atom): -5.61
# V (Å³ per atom): 15.3



# Sr2Li2PbO6 | the Alexandria database | PBE | optimized geometry
data_Sr2Li2PbO6
_symmetry_space_group_name_H-M 'R -3 m'
_symmetry_Int_Tables_number 166
_symmetry_space_group_name_Hall '-R 3 2"'
_cell_length_a 5.9124
_cell_length_b 5.9124
_cell_length_c 16.2001
_cell_angle_alpha 90.00
_cell_angle_beta 90.00
_cell_angle_gamma 120.00
loop_
_atom_site_label
_atom_site_fract_x
_atom_site_fract_y
_atom_site_fract_z
Sr1 0.0000 0.0000 0.2122
Li1 0.0000 0.0000 0.4225
Pb1 0.0000 0.0000 0.0000
O1 0.0200 0.5100 0.7565
# Uncorrected energy (eV/atom): -5.24
# V (Å³ per atom): 14.9



# Sr2LiPbO | the Alexandria database | PBE | optimized geometry
data_Sr2LiPbO
_symmetry_space_group_name_H-M 'P 4/m m m'
_symmetry_Int_Tables_number 123
_symmetry_space_group_name_Hall '-P 4 2'
_cell_length_a 5.4374
_cell_length_b 5.4374
_cell_length_c 4.1265
_cell_angle_alpha 90.00
_cell_angle_beta 90.00
_cell_angle_gamma 90.00
loop_
_atom_site_label
_atom_site_fract_x
_atom_site_fract_y
_atom_site_fract_z
Sr1 0.0000 0.5000 0.0000
Li1 0.0000 0.0000 0.5000
Pb1 0.5000 0.5000 0.5000
O1 0.0000 0.0000 0.0000
# E above lowest polymorph (kJ per mole of atoms): 0.0
# V (Å³ per atom): 24.4